A relaxed structure of Sc2ZnTeRu, computed with PBE.

Values from the calculation:
The energy is -4.78 eV/atom. The value obtained for the density of states at the Fermi level is 5.91 states/eV/f.u. The value obtained for the total magnetization is 0.000 μB/atom. The value obtained for the formation energy from raw total energies is 494.4 meV/atom. As for the space-group type: P4/mmm.

```
5
Lattice="5.274 0.000 0.000 0.000 4.805 0.000 0.000 0.000 5.274" Properties=species:S:1:pos:R:3 pbc="T T T"
Zn 2.637 2.403 2.637
Sc 2.637 0.000 0.000
Sc 0.000 0.000 2.637
Ru 0.000 2.403 0.000
Te 0.000 0.000 0.000
```